Record 1
First-principles (GGA-PBE) data for a relaxed La2FePtN crystal, as listed in Alexandria via LeMat-Bulk.

Values from the calculation:
Spin magnetization in μB/f.u.: 0.17
Space-group type: P4/mmm, No. 123
Total energy in eV/atom: -7.443
Formation energy from raw total energies in kJ/mol of formula units: -437

The structure in POSCAR format:
```
La2FePtN
1.0
5.2364 0.0000 0.0000
0.0000 5.2364 0.0000
0.0000 0.0000 3.6009
La Fe Pt N
2 1 1 1
Cartesian
0.0000 2.6182 0.0000
2.6182 0.0000 0.0000
0.0000 0.0000 1.8004
2.6182 2.6182 1.8004
0.0000 0.0000 0.0000
```

***

Record 2
First-principles (GGA-PBE) data for a relaxed HfCr2Os crystal, as listed in Alexandria via LeMat-Bulk.

Values from the calculation:
Spin magnetization in μB/f.u.: 2.15
Distance to the lowest polymorph of the same formula in meV per atom: 562
Space-group type: I-42d, No. 122
Total energy in eV/atom: -9.533
ΔH_f (0 K) in meV/atom: 575

The structure in POSCAR format:
```
HfCr2Os
1.0
-3.5112 3.5112 2.6689
3.5112 -3.5112 2.6689
3.5112 3.5112 -2.6689
Hf Cr Os
2 4 2
Cartesian
0.0000 0.0000 0.0000
0.0000 3.5112 1.3345
1.7556 -1.4655 2.0017
2.0457 1.7556 0.6672
1.7556 4.9768 -0.6672
1.4655 1.7556 3.3361
3.5112 0.0000 1.3345
0.0000 0.0000 2.6689
```

***

Record 3
First-principles (GGA-PBE) data for a relaxed CoCuH3 crystal, as listed in Alexandria via LeMat-Bulk.

Values from the calculation:
Spin magnetization in μB/f.u.: 0.00
Distance to the lowest polymorph of the same formula in meV per atom: 0
Space-group type: P2_1/m, No. 11
Total energy in eV/atom: -4.171

The structure in POSCAR format:
```
CoCuH3
1.0
4.3709 0.0000 0.0000
0.0000 2.5567 0.0000
-1.5570 0.0000 6.7234
Co Cu H
2 2 6
Cartesian
0.3600 0.6392 1.0799
2.4539 1.9175 5.6435
0.2681 0.6392 5.2075
2.5457 1.9175 1.5159
-0.1661 1.9175 2.0482
0.9543 1.9175 0.1240
1.5372 0.6392 2.1666
1.2766 1.9175 4.5568
1.8596 0.6392 6.5994
2.9799 0.6392 4.6752
```

***

Record 4
First-principles (GGA-PBE) data for a relaxed Al2TcPt crystal, as listed in Alexandria via LeMat-Bulk.

Values from the calculation:
Spin magnetization in μB/f.u.: 0.00
Space-group type: Pmmm, No. 47
Total energy in eV/atom: -6.667
ΔH_f (0 K) in meV/atom: -694

The structure in POSCAR format:
```
Al2TcPt
1.0
2.9441 0.0000 0.0000
0.0000 3.2190 0.0000
0.0000 0.0000 6.0455
Al Tc Pt
2 1 1
Cartesian
0.0000 0.0000 1.4535
0.0000 0.0000 4.5920
1.4721 1.6095 0.0000
1.4721 1.6095 3.0228
```

***

Record 5
First-principles (GGA-PBE) data for a relaxed RbNi2Pt crystal, as listed in Alexandria via LeMat-Bulk.

Values from the calculation:
Spin magnetization in μB/f.u.: 1.23
Distance to the lowest polymorph of the same formula in meV per atom: 0
Space-group type: I4_1/amd, No. 141
Total energy in eV/atom: -4.109
ΔH_f (0 K) in meV/atom: 534

The structure in POSCAR format:
```
RbNi2Pt
1.0
-2.4842 2.4842 8.2035
2.4842 -2.4842 8.2035
2.4842 2.4842 -8.2035
Rb Ni Pt
2 4 2
Cartesian
2.4842 1.2421 2.0509
0.0000 1.2421 6.1526
0.0000 0.0000 0.0000
1.2421 1.2421 -4.1018
1.2421 -1.2421 4.1018
0.0000 2.4842 0.0000
2.4842 -1.2421 6.1526
0.0000 3.7262 2.0509
```

***

Record 6
First-principles (GGA-PBE) data for a relaxed CoAuCl crystal, as listed in Alexandria via LeMat-Bulk.

Values from the calculation:
Spin magnetization in μB/f.u.: 2.20
Distance to the lowest polymorph of the same formula in meV per atom: 129
Space-group type: P3m1, No. 156
Total energy in eV/atom: -4.016
Formation energy from raw total energies in kJ/mol of formula units: 18

The structure in POSCAR format:
```
CoAuCl
1.0
3.1399 0.0000 0.0000
-1.5700 2.7192 0.0000
0.0000 0.0000 6.5826
Co Au Cl
1 1 1
Cartesian
0.0000 0.0000 0.0000
1.5700 0.9064 1.9493
0.0000 1.8128 5.1578
```

***

> Number 2 is which compound?

HfCr2Os

***

> spin magnetization of number 3 (CoCuH3)?

0.00 μB/f.u.

***

> Which value of spin magnetization does entry 3 give?

0.00 μB/f.u.

***

> spin magnetization of number 2 (HfCr2Os)?

2.15 μB/f.u.